one | This record from Alexandria via LeMat-Bulk describes a geometry-optimized Bi3RhW structure. The functional is GGA-PBE.

Cell lengths 5.321, 5.321, 5.321 Å; angles 90.00, 90.00, 90.00 degrees
Fractional coordinates of all 5 atoms:
Bi: 0.000 0.000 0.500
Bi: 0.000 0.500 0.000
Bi: 0.500 0.000 0.000
Rh: 0.500 0.500 0.500
W: 0.000 0.000 0.000

Results
DOS(E_F) in states/eV per atom: 0.8755
Symmetry: Pm-3m (221)



two | This record from Alexandria via LeMat-Bulk describes a geometry-optimized Bi3RhW structure. The functional is GGA-PBE.

Cell lengths 5.250, 5.250, 5.250 Å; angles 90.00, 90.00, 90.00 degrees
Fractional coordinates of all 5 atoms:
Bi: 0.000 0.000 0.500
Bi: 0.000 0.500 0.000
Bi: 0.500 0.000 0.000
Rh: 0.000 0.000 0.000
W: 0.500 0.500 0.500

Results
DOS(E_F) in states/eV per atom: 1.0879
Symmetry: Pm-3m (221)



Stability summary - winner: one; margin: 4.4 kJ/mol of atoms.



one | This record from Alexandria via LeMat-Bulk describes a geometry-optimized Y2BiRh2 structure. The functional is GGA-PBE.

Cell lengths 7.762, 7.762, 3.657 Å; angles 90.00, 90.00, 90.00 degrees
Fractional coordinates of all 10 atoms:
Y: 0.167 0.333 0.000
Y: 0.333 0.833 0.000
Y: 0.667 0.167 0.000
Y: 0.833 0.667 0.000
Bi: 0.000 0.000 0.500
Bi: 0.500 0.500 0.500
Rh: 0.131 0.631 0.500
Rh: 0.369 0.131 0.500
Rh: 0.631 0.869 0.500
Rh: 0.869 0.369 0.500

Results
DOS(E_F) in states/eV per atom: 0.7306
Symmetry: P4/mbm (127)



two | This record from Alexandria via LeMat-Bulk describes a geometry-optimized Y2BiRh2 structure. The functional is GGA-PBE.

Cell lengths 5.610, 5.610, 5.610 Å; angles 122.31, 122.31, 86.04 degrees
Fractional coordinates of all 5 atoms:
Y: 0.250 0.750 0.500
Y: 0.750 0.250 0.500
Bi: 0.000 0.000 0.000
Rh: 0.346 0.346 0.000
Rh: 0.654 0.654 0.000

Results
DOS(E_F) in states/eV per atom: 0.9158
Symmetry: I4/mmm (139)



three | This record from Alexandria via LeMat-Bulk describes a geometry-optimized Y2BiRh2 structure. The functional is GGA-PBE.

Cell lengths 8.592, 8.592, 8.592 Å; angles 153.94, 153.94, 37.19 degrees
Fractional coordinates of all 5 atoms:
Y: 0.125 0.125 0.000
Y: 0.875 0.875 0.000
Bi: 0.500 0.500 0.000
Rh: 0.250 0.750 0.500
Rh: 0.750 0.250 0.500

Results
DOS(E_F) in states/eV per atom: 0.7048
Symmetry: I4/mmm (139)



Stability summary - winner: one; margin: 21.0 kJ/mol of atoms.



one | This record from Alexandria via LeMat-Bulk describes a geometry-optimized YBi3Rh structure. The functional is GGA-PBE.

Cell lengths 5.791, 5.791, 5.791 Å; angles 90.00, 90.00, 90.00 degrees
Fractional coordinates of all 5 atoms:
Y: 0.000 0.000 0.000
Bi: 0.000 0.000 0.500
Bi: 0.000 0.500 0.000
Bi: 0.500 0.000 0.000
Rh: 0.500 0.500 0.500

Results
DOS(E_F) in states/eV per atom: 1.4432
Symmetry: Pm-3m (221)



two | This record from Alexandria via LeMat-Bulk describes a geometry-optimized YBi3Rh structure. The functional is GGA-PBE.

Cell lengths 5.336, 5.336, 5.336 Å; angles 90.00, 90.00, 90.00 degrees
Fractional coordinates of all 5 atoms:
Y: 0.000 0.000 0.000
Bi: 0.000 0.500 0.500
Bi: 0.500 0.000 0.500
Bi: 0.500 0.500 0.000
Rh: 0.500 0.500 0.500

Results
DOS(E_F) in states/eV per atom: 1.1383
Symmetry: Pm-3m (221)



Stability summary - winner: two; margin: 87.6 kJ/mol of atoms.



one | This record from Alexandria via LeMat-Bulk describes a geometry-optimized ZnBi3Rh structure. The functional is GGA-PBE.

Cell lengths 5.245, 5.245, 5.245 Å; angles 90.00, 90.00, 90.00 degrees
Fractional coordinates of all 5 atoms:
Zn: 0.000 0.000 0.000
Bi: 0.000 0.000 0.500
Bi: 0.000 0.500 0.000
Bi: 0.500 0.000 0.000
Rh: 0.500 0.500 0.500

Results
DOS(E_F) in states/eV per atom: 0.5449
Symmetry: Pm-3m (221)



two | This record from Alexandria via LeMat-Bulk describes a geometry-optimized ZnBi3Rh structure. The functional is GGA-PBE.

Cell lengths 5.341, 5.341, 5.341 Å; angles 90.00, 90.00, 90.00 degrees
Fractional coordinates of all 5 atoms:
Zn: 0.000 0.000 0.000
Bi: 0.000 0.500 0.500
Bi: 0.500 0.000 0.500
Bi: 0.500 0.500 0.000
Rh: 0.500 0.500 0.500

Results
DOS(E_F) in states/eV per atom: 0.3465
Symmetry: Pm-3m (221)



Stability summary - winner: two; margin: 46.3 kJ/mol of atoms.